Entry 1:
V2Ge2Mo | GGA-PBE | optimized geometry

Cell lengths 6.6482, 6.6482, 3.3060 Å; angles 90.00, 90.00, 90.00 degrees
With the nearest neighbours (Å) after each atom.
Atoms (fractional coordinates):
1 Mo 0.0000 0.0000 0.0000  4 Ge 2.58
2 Mo 0.5000 0.5000 0.0000  4 Ge 2.58
3 Ge 0.3631 0.8631 0.0000  6 V 2.51-2.59, 1 Ge 2.57, 2 Mo 2.58
4 Ge 0.8631 0.6369 0.0000  6 V 2.51-2.59, 1 Ge 2.57, 2 Mo 2.58
5 Ge 0.6369 0.1369 0.0000  6 V 2.51-2.59, 1 Ge 2.57, 2 Mo 2.58
6 Ge 0.1369 0.3631 0.0000  6 V 2.51-2.59, 1 Ge 2.57, 2 Mo 2.58
7 V 0.1627 0.6627 0.5000  6 Ge 2.51-2.59
8 V 0.6627 0.8373 0.5000  6 Ge 2.51-2.59
9 V 0.8373 0.3373 0.5000  6 Ge 2.51-2.59
10 V 0.3373 0.1627 0.5000  6 Ge 2.51-2.59

Results
* energy relative to the elements: -0.1627 eV per atom
* ΔE to the lowest computed polymorph: 0.12 eV/f.u.
* space group: No. 127

Entry 2:
V7Ge2Mo2 | GGA-PBE | optimized geometry

Cell lengths 5.3864, 5.8747, 5.8747 Å; angles 111.41, 97.65, 97.65 degrees
With the nearest neighbours (Å) after each atom.
Atoms (fractional coordinates):
1 V 0.1840 0.9133 0.4112  1 Mo 2.45, 2 Ge 2.48-2.71, 4 V 2.52-2.74
2 V 0.8160 0.5888 0.0867  1 Mo 2.45, 2 Ge 2.48-2.71, 4 V 2.52-2.74
3 V 0.8160 0.0867 0.5888  1 Mo 2.45, 2 Ge 2.48-2.71, 4 V 2.52-2.74
4 V 0.1840 0.4112 0.9133  1 Mo 2.45, 2 Ge 2.48-2.71, 4 V 2.52-2.74
5 V 0.0000 0.0000 0.0000  2 Mo 2.41, 2 V 2.58
6 V 0.6288 0.6730 0.6730  2 V 2.38-2.58, 1 Mo 2.64
7 V 0.3712 0.3270 0.3270  2 V 2.38-2.58, 1 Mo 2.64
8 Ge 0.5000 0.1354 0.8646  6 V 2.48-2.76, 1 Ge 2.63
9 Ge 0.5000 0.8646 0.1354  6 V 2.48-2.76, 1 Ge 2.63
10 Mo 0.8580 0.3187 0.3187  4 V 2.41-2.64, 1 Mo 2.52
11 Mo 0.1420 0.6813 0.6813  4 V 2.41-2.64, 1 Mo 2.52

Results
* energy relative to the elements: 0.3636 eV per atom
* space group: No. 12